The following is a DFT calculation (PBEsol) of crystalline K2DyF5 at its relaxed geometry.

Output
volume: 15.81 A^3/atom
symmetry: Pnma, No. 62
energy relative to the elements, uncorrected: -3.5306 eV per atom
magnetic moment: 0.018 μB/atom

Cell: 6.555 7.209 10.706 Å, 90.00 90.00 90.00°
Element x y z (fractional)
K: 0.534 0.003 0.172
K: 0.034 0.503 0.328
K: 0.966 0.497 0.672
K: 0.534 0.497 0.172
K: 0.966 0.003 0.672
K: 0.466 0.503 0.828
K: 0.466 0.997 0.828
K: 0.034 0.997 0.328
F: 0.605 0.750 0.988
F: 0.647 0.465 0.423
F: 0.353 0.535 0.577
F: 0.853 0.035 0.923
F: 0.868 0.250 0.168
F: 0.105 0.250 0.512
F: 0.895 0.750 0.488
F: 0.395 0.250 0.012
F: 0.632 0.250 0.668
F: 0.147 0.535 0.077
F: 0.836 0.750 0.192
F: 0.147 0.965 0.077
F: 0.853 0.465 0.923
F: 0.368 0.750 0.332
F: 0.132 0.750 0.832
F: 0.647 0.035 0.423
F: 0.336 0.250 0.308
F: 0.353 0.965 0.577
F: 0.164 0.250 0.808
F: 0.664 0.750 0.692
Dy: 0.938 0.750 0.995
Dy: 0.062 0.250 0.005
Dy: 0.438 0.250 0.505
Dy: 0.562 0.750 0.495